Computed, not measured: a relaxed YTaAlCu2 crystal at the PBE-GGA level of DFT.

Properties
* ΔE_f: 0.96 eV per atom
* SG: P4/mmm

```
YTaAlCu2
1.0
4.4175 0.0000 0.0000
0.0000 4.4175 0.0000
0.0000 0.0000 5.2324
Y Ta Al Cu
1 1 1 2
Direct
0.0000 0.0000 0.0000 Y
0.5000 0.5000 0.0000 Ta
0.0000 0.0000 0.5000 Al
0.0000 0.5000 0.5000 Cu
0.5000 0.0000 0.5000 Cu
```